(1)
First-principles (GGA-PBE) data for crystalline Sr2LiTeS4 at its relaxed geometry, as listed in Alexandria.

## Properties
Magnetic moment ... 0.000 μB/atom
Uncorrected formation energy ... -115.17 kJ per mole of atoms
Total energy ... -69.0 eV per cell

Structure (POSCAR):
```
Sr2LiTeS4
1.0
7.9765 0.0006 0.1333
-0.0050 7.9765 0.1333
-3.8225 -3.8252 6.2422
Sr Te S Li
4 2 8 2
Direct
0.5000 0.0000 0.5000 Sr
0.5000 0.0000 0.0000 Sr
0.0000 0.0000 0.5000 Sr
0.5000 0.5000 0.0000 Sr
0.0000 0.0000 0.0000 Te
0.5000 0.5000 0.5000 Te
0.2396 0.7624 0.0255 S
0.2105 0.2339 0.9757 S
0.2624 0.7396 0.5255 S
0.7339 0.7105 0.4757 S
0.7604 0.2376 0.9745 S
0.2661 0.2895 0.5243 S
0.7895 0.7661 0.0243 S
0.7376 0.2604 0.4745 S
0.0000 0.5000 0.5000 Li
0.0000 0.5000 0.0000 Li
```

***

(2)
First-principles (GGA-PBE) data for crystalline SrLiThS3 at its relaxed geometry, as listed in Alexandria.

## Properties
Magnetic moment ... 0.059 μB/atom
Uncorrected formation energy ... -171.23 kJ per mole of atoms
Total energy ... -68.1 eV per cell

Structure (POSCAR):
```
SrLiThS3
1.0
4.0077 0.0000 0.0000
0.0000 8.5777 0.1154
0.0000 -2.1447 8.4266
S Li Sr Th
6 2 2 2
Direct
0.7500 0.2030 0.5162 S
0.2500 0.1070 0.8661 S
0.2500 0.5701 0.8159 S
0.2500 0.7970 0.4838 S
0.7500 0.4299 0.1841 S
0.7500 0.8930 0.1339 S
0.7500 0.9179 0.4124 Li
0.2500 0.0821 0.5876 Li
0.7500 0.8169 0.7687 Sr
0.2500 0.1831 0.2313 Sr
0.2500 0.6579 0.1555 Th
0.7500 0.3421 0.8445 Th
```

***

(3)
First-principles (GGA-PBE) data for crystalline Sr2LiThS4 at its relaxed geometry, as listed in Alexandria.

## Properties
Magnetic moment ... 0.000 μB/atom
Uncorrected formation energy ... -179.18 kJ per mole of atoms
Total energy ... -44.1 eV per cell

Structure (POSCAR):
```
Sr2LiThS4
1.0
-3.5602 0.2594 -2.0753
-1.0955 -6.9101 1.0157
-2.9051 3.6716 5.4427
S Sr Li Th
4 2 1 1
Direct
0.5000 0.7530 0.7656 S
0.0000 0.7488 0.2297 S
0.5000 0.2470 0.2344 S
0.0000 0.2512 0.7703 S
0.5000 0.0000 0.5000 Sr
0.0000 0.5000 0.5000 Sr
0.5000 0.5000 0.0000 Li
0.0000 0.0000 0.0000 Th
```

***

(4)
First-principles (GGA-PBE) data for crystalline SrLiThS4 at its relaxed geometry, as listed in Alexandria.

## Properties
Magnetic moment ... 0.000 μB/atom
Uncorrected formation energy ... -151.10 kJ per mole of atoms
Total energy ... -77.0 eV per cell

Structure (POSCAR):
```
SrLiThS4
1.0
5.6687 0.0000 0.0000
0.0000 6.8755 0.0000
-2.8343 0.0000 7.8293
S Th Li Sr
8 2 2 2
Direct
0.4212 0.7500 0.8424 S
0.0000 0.0000 0.5000 S
0.5000 0.0000 0.5000 S
0.0000 0.5000 0.5000 S
0.9446 0.2500 0.8891 S
0.0554 0.7500 0.1109 S
0.5000 0.5000 0.5000 S
0.5788 0.2500 0.1576 S
0.1193 0.2500 0.2386 Th
0.8807 0.7500 0.7614 Th
0.7305 0.2500 0.4610 Li
0.2695 0.7500 0.5390 Li
0.3919 0.2500 0.7838 Sr
0.6081 0.7500 0.2162 Sr
```

***

What is the uncorrected formation energy in the fourth record? -151.10 kJ per mole of atoms